No. 1
{
  "formula": "Ho2OsPd",
  "functional": "meta-GGA SCAN",
  "state": "PBEsol geometry",
  "vol_a3_per_cell": 77,
  "ef_ev_per_atom": -0.7134,
  "cell": [[0.000, 3.377, 3.377], [3.377, 0.000, 3.377], [3.377, 3.377, 0.000]],
  "species": ["Ho", "Ho", "Os", "Pd"],
  "frac_coords": [[0.250, 0.250, 0.250], [0.750, 0.750, 0.750], [0.000, 0.000, 0.000], [0.500, 0.500, 0.500]]
}

=====

No. 2
{
  "formula": "HoSi2Os2",
  "functional": "meta-GGA SCAN",
  "state": "PBEsol geometry",
  "energy_ev_per_atom": -43.37,
  "vol_a3_per_cell": 81,
  "cell": [[-2.057, 2.057, 4.801], [2.057, -2.057, 4.801], [2.057, 2.057, -4.801]],
  "species": ["Ho", "Si", "Si", "Os", "Os"],
  "frac_coords": [[0.000, 0.000, 0.000], [0.374, 0.374, 0.000], [0.626, 0.626, 0.000], [0.250, 0.750, 0.500], [0.750, 0.250, 0.500]]
}